# Ni2AsW

A relaxed Ni2AsW crystal (GGA-PBE, Alexandria).

Values from the calculation:
calculated volume	54.7	Å³ per cell
energy relative to the elements	0.080	eV per atom
energy	-0.265	hartree per atom
Fermi-level density of states	3.2	states/eV/cell
space group	P4/mmm, No. 123

Cell: 2.754 2.754 7.212 Å, 90.00 90.00 90.00°
Element x y z (fractional)
Ni  0.000  0.000  0.248
Ni  0.000  0.000  0.752
As  0.500  0.500  0.500
W  0.500  0.500  0.000



# Ho3Tm4Sn

A relaxed Ho3Tm4Sn crystal (GGA-PBE, Alexandria).

Values from the calculation:
calculated volume	251.4	Å³ per cell
energy relative to the elements	0.030	eV per atom
energy	-0.163	hartree per atom
Fermi-level density of states	12.2	states/eV/cell
space group	C2/m, No. 12

Cell: 13.973 13.973 5.129 Å, 90.39 90.39 14.54°
Element x y z (fractional)
Ho  0.000  0.000  0.000
Ho  0.157  0.157  0.246
Ho  0.843  0.843  0.754
Tm  0.282  0.282  0.251
Tm  0.401  0.401  0.250
Tm  0.599  0.599  0.750
Tm  0.718  0.718  0.749
Sn  0.500  0.500  0.500



# Ba2MgCd5

A relaxed Ba2MgCd5 crystal (GGA-PBE, Alexandria).

Values from the calculation:
calculated volume	501.4	Å³ per cell
energy relative to the elements	-0.238	eV per atom
energy	-0.055	hartree per atom
Fermi-level density of states	12.1	states/eV/cell
space group	Cmcm, No. 63

Cell: 9.624 9.624 10.486 Å, 90.00 90.00 148.92°
Element x y z (fractional)
Ba  0.000  0.000  0.000
Ba  0.000  0.000  0.500
Ba  0.205  0.795  0.750
Ba  0.795  0.205  0.250
Mg  0.440  0.560  0.250
Mg  0.560  0.440  0.750
Cd  0.185  0.815  0.109
Cd  0.185  0.815  0.391
Cd  0.348  0.652  0.021
Cd  0.348  0.652  0.479
Cd  0.404  0.596  0.750
Cd  0.596  0.404  0.250
Cd  0.652  0.348  0.521
Cd  0.652  0.348  0.979
Cd  0.815  0.185  0.609
Cd  0.815  0.185  0.891



# AcTh2Au6

A relaxed AcTh2Au6 crystal (GGA-PBE, Alexandria).

Values from the calculation:
calculated volume	217.0	Å³ per cell
energy relative to the elements	-0.717	eV per atom
energy	-0.184	hartree per atom
Fermi-level density of states	7.5	states/eV/cell
space group	P6/mmm, No. 191

Cell: 8.351 8.351 3.592 Å, 90.00 90.00 120.00°
Element x y z (fractional)
Ac  0.000  0.000  0.000
Th  0.333  0.667  0.000
Th  0.667  0.333  0.000
Au  0.000  0.336  0.500
Au  0.000  0.664  0.500
Au  0.336  0.000  0.500
Au  0.336  0.336  0.500
Au  0.664  0.000  0.500
Au  0.664  0.664  0.500



# Rb2NbPbCl6

A relaxed Rb2NbPbCl6 crystal (GGA-PBE, Alexandria).

Values from the calculation:
calculated volume	320.5	Å³ per cell
ΔE_f (raw)	-1290	kJ/mol of formula units
energy	-0.148	hartree per atom
Fermi-level density of states	0.0	states/eV/cell
space group	Fm-3m, No. 225

Cell: 7.681 7.681 7.681 Å, 60.00 60.00 60.00°
Element x y z (fractional)
Rb  0.250  0.250  0.250
Rb  0.750  0.750  0.750
Nb  0.000  0.000  0.000
Pb  0.500  0.500  0.500
Cl  0.237  0.237  0.763
Cl  0.237  0.763  0.237
Cl  0.237  0.763  0.763
Cl  0.763  0.237  0.237
Cl  0.763  0.237  0.763
Cl  0.763  0.763  0.237



# SrRhIF2

A relaxed SrRhIF2 crystal (GGA-PBE, Alexandria).

Values from the calculation:
calculated volume	118.5	Å³ per cell
ΔE_f (raw)	-472	kJ/mol of formula units
energy	-0.141	hartree per atom
Fermi-level density of states	2.5	states/eV/cell
space group	P4/mmm, No. 123

Cell: 4.958 4.958 4.818 Å, 90.00 90.00 90.00°
Element x y z (fractional)
Sr  0.000  0.000  0.000
Rh  0.500  0.500  0.000
I  0.500  0.500  0.500
F  0.000  0.500  0.500
F  0.500  0.000  0.500



# Cu2As2C

A relaxed Cu2As2C crystal (GGA-PBE, Alexandria).

Values from the calculation:
E above lowest polymorph	137.6	meV/atom
calculated volume	73.0	Å³ per cell
energy relative to the elements	1.213	eV per atom
energy	-0.152	hartree per atom
Fermi-level density of states	2.3	states/eV/cell
space group	I4/mmm, No. 139

Cell: 7.138 7.138 7.138 Å, 153.36 153.36 38.03°
Element x y z (fractional)
Cu  0.250  0.750  0.500
Cu  0.750  0.250  0.500
As  0.097  0.097  0.000
As  0.903  0.903  0.000
C  0.500  0.500  0.000



# Ho6Cd23

A relaxed Ho6Cd23 crystal (GGA-PBE, Alexandria).

Values from the calculation:
calculated volume	681.4	Å³ per cell
energy relative to the elements	-0.182	eV per atom
energy	-0.068	hartree per atom
Fermi-level density of states	16.0	states/eV/cell
space group	Fm-3m, No. 225

Cell: 9.877 9.877 9.877 Å, 60.00 60.00 60.00°
Element x y z (fractional)
Ho  0.200  0.200  0.800
Ho  0.200  0.800  0.200
Ho  0.200  0.800  0.800
Ho  0.800  0.200  0.200
Ho  0.800  0.200  0.800
Ho  0.800  0.800  0.200
Cd  0.000  0.000  0.500
Cd  0.000  0.500  0.000
Cd  0.000  0.500  0.500
Cd  0.136  0.621  0.621
Cd  0.160  0.160  0.160
Cd  0.160  0.160  0.519
Cd  0.160  0.519  0.160
Cd  0.379  0.379  0.379
Cd  0.379  0.379  0.864
Cd  0.379  0.864  0.379
Cd  0.481  0.840  0.840
Cd  0.500  0.000  0.000
Cd  0.500  0.000  0.500
Cd  0.500  0.500  0.000
Cd  0.500  0.500  0.500
Cd  0.519  0.160  0.160
Cd  0.621  0.136  0.621
Cd  0.621  0.621  0.136
Cd  0.621  0.621  0.621
Cd  0.840  0.481  0.840
Cd  0.840  0.840  0.481
Cd  0.840  0.840  0.840
Cd  0.864  0.379  0.379



# Co2SCl

A relaxed Co2SCl crystal (GGA-PBE, Alexandria).

Values from the calculation:
E above lowest polymorph	583.8	meV/atom
calculated volume	50.6	Å³ per cell
ΔE_f (raw)	181	kJ/mol of formula units
energy	-0.168	hartree per atom
Fermi-level density of states	7.1	states/eV/cell
space group	Fm-3m, No. 225

Cell: 4.153 4.153 4.153 Å, 60.00 60.00 60.00°
Element x y z (fractional)
Co  0.250  0.250  0.250
Co  0.750  0.750  0.750
S  0.000  0.000  0.000
Cl  0.500  0.500  0.500



# Se3Br

A relaxed Se3Br crystal (GGA-PBE, Alexandria).

Values from the calculation:
E above lowest polymorph	167.8	meV/atom
calculated volume	212.6	Å³ per cell
ΔE_f (raw)	85	kJ/mol of formula units
energy	-0.103	hartree per atom
Fermi-level density of states	3.4	states/eV/cell
space group	Cmcm, No. 63

Cell: 8.131 8.131 3.891 Å, 90.00 90.00 124.27°
Element x y z (fractional)
Se  0.017  0.635  0.250
Se  0.065  0.935  0.750
Se  0.365  0.983  0.250
Se  0.635  0.017  0.750
Se  0.935  0.065  0.250
Se  0.983  0.365  0.750
Br  0.382  0.618  0.750
Br  0.618  0.382  0.250



# GdDyTlOs

A relaxed GdDyTlOs crystal (GGA-PBE, Alexandria).

Values from the calculation:
calculated volume	93.2	Å³ per cell
energy relative to the elements	-0.132	eV per atom
energy	-0.301	hartree per atom
Fermi-level density of states	2.9	states/eV/cell
space group	F-43m, No. 216

Cell: 5.089 5.089 5.089 Å, 60.00 60.00 60.00°
Element x y z (fractional)
Gd  0.000  0.000  0.000
Dy  0.500  0.500  0.500
Tl  0.750  0.750  0.750
Os  0.250  0.250  0.250



# Fe4HgSb12

A relaxed Fe4HgSb12 crystal (GGA-PBE, Alexandria).

Values from the calculation:
calculated volume	393.2	Å³ per cell
ΔE_f (raw)	-12	kJ/mol of formula units
energy	-0.181	hartree per atom
Fermi-level density of states	13.1	states/eV/cell
space group	Im-3, No. 204

Cell: 7.994 7.994 7.994 Å, 109.47 109.47 109.47°
Element x y z (fractional)
Fe  0.000  0.000  0.500
Fe  0.000  0.500  0.000
Fe  0.500  0.000  0.000
Fe  0.500  0.500  0.500
Hg  0.000  0.000  0.000
Sb  0.160  0.333  0.494
Sb  0.160  0.667  0.827
Sb  0.173  0.840  0.333
Sb  0.333  0.173  0.840
Sb  0.333  0.494  0.160
Sb  0.494  0.160  0.333
Sb  0.506  0.840  0.667
Sb  0.667  0.506  0.840
Sb  0.667  0.827  0.160
Sb  0.827  0.160  0.667
Sb  0.840  0.333  0.173
Sb  0.840  0.667  0.506



# CsLa2MgIr

A relaxed CsLa2MgIr crystal (GGA-PBE, Alexandria).

Values from the calculation:
calculated volume	177.7	Å³ per cell
energy relative to the elements	-0.138	eV per atom
energy	-0.161	hartree per atom
Fermi-level density of states	4.8	states/eV/cell
space group	P4/mmm, No. 123

Cell: 5.679 5.679 5.511 Å, 90.00 90.00 90.00°
Element x y z (fractional)
Cs  0.000  0.000  0.000
La  0.000  0.500  0.500
La  0.500  0.000  0.500
Mg  0.500  0.500  0.000
Ir  0.500  0.500  0.500



# AcTlGa

A relaxed AcTlGa crystal (GGA-PBE, Alexandria).

Values from the calculation:
E above lowest polymorph	0.0	meV/atom
calculated volume	179.5	Å³ per cell
energy relative to the elements	-0.460	eV per atom
energy	-0.133	hartree per atom
Fermi-level density of states	2.7	states/eV/cell
space group	C2/m, No. 12

Cell: 8.969 8.969 4.356 Å, 101.55 101.55 31.57°
Element x y z (fractional)
Ac  0.104  0.104  0.336
Ac  0.896  0.896  0.664
Tl  0.292  0.292  0.169
Tl  0.708  0.708  0.831
Ga  0.460  0.460  0.217
Ga  0.540  0.540  0.783



# K3Zn2O4

A relaxed K3Zn2O4 crystal (GGA-PBE, Alexandria).

Values from the calculation:
calculated volume	307.1	Å³ per cell
ΔE_f (raw)	-1091	kJ/mol of formula units
energy	-0.151	hartree per atom
Fermi-level density of states	15.2	states/eV/cell
space group	C2/c, No. 15

Cell: 7.436 7.436 5.752 Å, 91.93 91.93 75.08°
Element x y z (fractional)
K  0.099  0.901  0.750
K  0.240  0.527  0.458
K  0.473  0.760  0.042
K  0.527  0.240  0.958
K  0.760  0.473  0.542
K  0.901  0.099  0.250
Zn  0.094  0.325  0.926
Zn  0.325  0.094  0.426
Zn  0.675  0.906  0.574
Zn  0.906  0.675  0.074
O  0.108  0.237  0.598
O  0.173  0.562  0.980
O  0.237  0.108  0.098
O  0.438  0.827  0.520
O  0.562  0.173  0.480
O  0.763  0.892  0.902
O  0.827  0.438  0.020
O  0.892  0.763  0.402



# Ho5Sc4In4

A relaxed Ho5Sc4In4 crystal (GGA-PBE, Alexandria).

Values from the calculation:
calculated volume	348.5	Å³ per cell
energy relative to the elements	-0.308	eV per atom
energy	-0.179	hartree per atom
Fermi-level density of states	11.3	states/eV/cell
space group	I4/m, No. 87

Cell: 8.829 8.829 8.829 Å, 94.30 94.30 148.23°
Element x y z (fractional)
Ho  0.000  0.000  0.000
Ho  0.309  0.395  0.704
Ho  0.395  0.691  0.086
Ho  0.605  0.309  0.914
Ho  0.691  0.605  0.296
Sc  0.097  0.589  0.686
Sc  0.411  0.097  0.508
Sc  0.589  0.903  0.492
Sc  0.903  0.411  0.314
In  0.090  0.245  0.334
In  0.245  0.910  0.155
In  0.755  0.090  0.845
In  0.910  0.755  0.666



# Pm6SmYEr2

A relaxed Pm6SmYEr2 crystal (GGA-PBE, Alexandria).

Values from the calculation:
calculated volume	675.8	Å³ per cell
energy relative to the elements	0.115	eV per atom
energy	-0.175	hartree per atom
Fermi-level density of states	29.4	states/eV/cell
space group	C2/c, No. 15

Cell: 8.928 8.928 9.675 Å, 93.90 93.90 117.87°
Element x y z (fractional)
Pm  0.017  0.565  0.185
Pm  0.116  0.759  0.554
Pm  0.241  0.884  0.946
Pm  0.293  0.507  0.380
Pm  0.435  0.983  0.315
Pm  0.493  0.707  0.120
Pm  0.507  0.293  0.880
Pm  0.565  0.017  0.685
Pm  0.707  0.493  0.620
Pm  0.759  0.116  0.054
Pm  0.884  0.241  0.446
Pm  0.983  0.435  0.815
Sm  0.409  0.591  0.750
Sm  0.591  0.409  0.250
Y  0.028  0.972  0.250
Y  0.972  0.028  0.750
Er  0.197  0.298  0.045
Er  0.298  0.197  0.545
Er  0.702  0.803  0.455
Er  0.803  0.702  0.955



# K2CuAsF6

A relaxed K2CuAsF6 crystal (GGA-PBE, Alexandria).

Values from the calculation:
calculated volume	156.4	Å³ per cell
ΔE_f (raw)	-2072	kJ/mol of formula units
energy	-0.160	hartree per atom
space group	P-1, No. 2

Cell: 6.022 6.022 6.055 Å, 119.69 119.72 90.20°
Element x y z (fractional)
K  0.250  0.250  0.000
K  0.750  0.750  0.000
Cu  0.000  0.500  0.500
As  0.500  0.000  0.500
F  0.254  0.243  0.499
F  0.255  0.754  0.500
F  0.259  0.758  0.018
F  0.741  0.242  0.982
F  0.745  0.246  0.500
F  0.746  0.757  0.501